La14HoIn: relaxed, PBE-GGA.

a = 7.3287 Å, b = 7.3287 Å, c = 10.4228 Å
α = 90.00°, β = 90.00°, γ = 90.02°
Fractional coordinates of all 16 atoms:
Ho1 0.8750 0.1250 0.0000
La1 0.6203 0.8703 0.7557
La2 0.1294 0.8706 0.7556
La3 0.6206 0.3794 0.7558
La4 0.1294 0.8706 0.2444
La5 0.6206 0.3794 0.2442
La6 0.1297 0.3797 0.7557
La7 0.3750 0.1249 0.0000
La8 0.8751 0.6250 0.5000
La9 0.8751 0.6250 0.0000
La10 0.8747 0.1253 0.5000
La11 0.6203 0.8703 0.2443
La12 0.3750 0.1249 0.5000
La13 0.1297 0.3797 0.2443
La14 0.3751 0.6249 0.5000
In1 0.3750 0.6250 0.0000

## Properties
Symmetry: No. 123
Formation energy from the elements: -0.061 eV/atom

LiSbOs3: relaxed, PBE-GGA.

a = 4.2082 Å, b = 4.2082 Å, c = 4.2082 Å
α = 90.00°, β = 90.00°, γ = 90.00°
Each line ends with the local moment (μB).
Fractional coordinates of all 5 atoms:
Os1 0.5000 0.0000 0.0000  0.26
Os2 0.0000 0.0000 0.5000  0.49
Os3 0.0000 0.5000 0.0000  0.34
Li1 0.0000 0.0000 0.0000  0.00
Sb1 0.5000 0.5000 0.5000  -0.01

## Properties
Energy relative to the elements, uncorrected: 1.37 eV per atom
Symmetry: No. 221
Relative energy among the computed polymorphs: 0.000 eV per atom

no.,E (eV/atom),ρ (g/cm3)
1,-4.83,6.60
2,-6.58,15.58